The following is a DFT calculation (GGA-PBE) of a relaxed structure of Co3ReAg.

```
Co3ReAg
1.0
4.437 0.000 0.000
0.000 4.437 0.000
0.000 0.000 4.437
Co Re Ag
3 1 1
direct
0.000 0.000 0.500 Co
0.000 0.500 0.000 Co
0.500 0.000 0.000 Co
0.000 0.000 0.000 Re
0.500 0.500 0.500 Ag
```

Density (Mg/m³): 8.95
DFT total energy (eV/atom): -5.9027

***

The following is a DFT calculation (GGA-PBE) of a relaxed structure of CoRe2Ag.

```
CoRe2Ag
1.0
3.731 0.000 0.000
0.000 3.758 0.000
0.000 0.000 4.116
Co Re Ag
1 2 1
direct
0.000 0.000 0.000 Co
0.000 0.500 0.500 Re
0.500 0.000 0.500 Re
0.500 0.500 0.000 Ag
```

Density (Mg/m³): 15.52
DFT total energy (eV/atom): -8.1365

***

The following is a DFT calculation (GGA-PBE) of a relaxed structure of Co2Re2Ag.

```
Co2Re2Ag
1.0
7.254 0.000 0.000
0.000 7.254 0.000
0.000 0.000 2.629
Co Re Ag
4 4 2
direct
0.121 0.379 0.000 Co
0.379 0.879 0.000 Co
0.621 0.121 0.000 Co
0.879 0.621 0.000 Co
0.170 0.670 0.500 Re
0.330 0.170 0.500 Re
0.670 0.830 0.500 Re
0.830 0.330 0.500 Re
0.000 0.000 0.000 Ag
0.500 0.500 0.000 Ag
```

Density (Mg/m³): 14.36
DFT total energy (eV/atom): -8.0589

***

The following is a DFT calculation (GGA-PBE) of a relaxed structure of Co4ReAg.

```
Co4ReAg
1.0
0.000 3.309 3.309
3.309 0.000 3.309
3.309 3.309 0.000
Co Re Ag
4 1 1
direct
0.125 0.125 0.125 Co
0.125 0.125 0.625 Co
0.125 0.625 0.125 Co
0.625 0.125 0.125 Co
0.750 0.750 0.750 Re
0.500 0.500 0.500 Ag
```

Density (Mg/m³): 12.15
DFT total energy (eV/atom): -6.9512

***

The following is a DFT calculation (GGA-PBE) of a relaxed structure of CoRe2Ag.

```
CoRe2Ag
1.0
2.641 -4.099 0.000
2.641 4.099 0.000
0.000 0.000 2.664
Co Re Ag
1 2 1
direct
0.000 0.000 0.000 Co
0.000 0.500 0.500 Re
0.500 0.000 0.500 Re
0.500 0.500 0.000 Ag
```

Density (Mg/m³): 15.52
DFT total energy (eV/atom): -8.1218

***

The following is a DFT calculation (GGA-PBE) of a relaxed structure of CoReAg2.

```
CoReAg2
1.0
4.780 0.000 0.000
0.000 2.667 0.000
-1.584 0.000 4.801
Co Re Ag
1 1 2
direct
0.000 0.000 0.000 Co
0.500 0.500 0.000 Re
0.000 0.500 0.500 Ag
0.500 0.000 0.500 Ag
```

Density (Mg/m³): 12.51
DFT total energy (eV/atom): -5.7017

***

The following is a DFT calculation (GGA-PBE) of a relaxed structure of CoReAg2.

```
CoReAg2
1.0
-3.613 3.613 2.578
3.613 -3.613 2.578
3.613 3.613 -2.578
Co Re Ag
2 2 4
direct
0.000 0.000 0.000 Co
0.750 0.250 0.500 Co
0.250 0.750 0.500 Re
0.500 0.500 0.000 Re
0.102 0.625 0.977 Ag
0.375 0.352 0.477 Ag
0.648 0.125 0.023 Ag
0.875 0.898 0.523 Ag
```

Density (Mg/m³): 11.37
DFT total energy (eV/atom): -5.0074

***

The following is a DFT calculation (GGA-PBE) of a relaxed structure of Co2ReAg.

```
Co2ReAg
1.0
-1.933 1.933 3.496
1.933 -1.933 3.496
1.933 1.933 -3.496
Co Re Ag
2 1 1
direct
0.250 0.750 0.500 Co
0.750 0.250 0.500 Co
0.000 0.000 0.000 Re
0.500 0.500 0.000 Ag
```

Density (Mg/m³): 13.09
DFT total energy (eV/atom): -6.8976

***

The following is a DFT calculation (GGA-PBE) of a relaxed structure of CoReAg2.

```
CoReAg2
1.0
-1.369 2.392 4.741
1.369 -2.392 4.741
1.369 2.392 -4.741
Co Re Ag
1 1 2
direct
0.000 0.000 0.000 Co
0.797 0.297 0.500 Re
0.247 0.747 0.500 Ag
0.523 0.523 0.000 Ag
```

Density (Mg/m³): 12.33
DFT total energy (eV/atom): -5.6575

***

The following is a DFT calculation (GGA-PBE) of a relaxed structure of Co2ReAg.

```
Co2ReAg
1.0
1.350 0.779 8.763
-1.350 0.779 8.763
0.000 -1.559 8.763
Co Re Ag
2 1 1
direct
0.000 0.000 0.000 Co
0.261 0.261 0.261 Co
0.517 0.517 0.517 Re
0.754 0.754 0.754 Ag
```

Density (Mg/m³): 12.36
DFT total energy (eV/atom): -7.0038

***

The following is a DFT calculation (GGA-PBE) of a relaxed structure of Co2ReAg.

```
Co2ReAg
1.0
2.641 0.000 0.000
0.000 4.088 0.000
-1.314 0.000 4.970
Co Re Ag
2 1 1
direct
0.000 0.000 0.000 Co
0.128 0.500 0.261 Co
0.722 0.000 0.449 Re
0.390 0.500 0.779 Ag
```

Density (Mg/m³): 12.75
DFT total energy (eV/atom): -6.9587

***

The following is a DFT calculation (GGA-PBE) of a relaxed structure of Co2ReAg.

```
Co2ReAg
1.0
2.641 0.000 0.000
0.000 3.781 0.000
0.000 0.000 5.455
Co Re Ag
2 1 1
direct
0.000 0.000 0.000 Co
0.500 0.500 0.239 Co
0.000 0.000 0.433 Re
0.500 0.500 0.744 Ag
```

Density (Mg/m³): 12.55
DFT total energy (eV/atom): -6.9411

***

no.,ΔE_f (eV per atom)
1,1.4207
2,0.5768
3,0.3329
4,0.3359
5,0.5915
6,0.6124
7,1.3068
8,0.4801
9,0.6566
10,0.3740
11,0.4190
12,0.4367